No. 1
The following is a GGA-PBE calculation of crystalline AgSb2Br6 at its relaxed geometry, from the Alexandria database.

Cell lengths 7.424, 9.701, 9.701 Å; angles 98.19, 84.00, 84.00 degrees
Atoms (fractional coordinates):
Ag  0.250  0.060  0.940
Ag  0.750  0.940  0.060
Sb  0.307  0.547  0.813
Sb  0.193  0.187  0.453
Sb  0.693  0.453  0.187
Sb  0.807  0.813  0.547
Br  0.523  0.712  0.464
Br  0.977  0.536  0.288
Br  0.477  0.288  0.536
Br  0.023  0.464  0.712
Br  0.856  0.967  0.348
Br  0.644  0.652  0.033
Br  0.144  0.033  0.652
Br  0.356  0.348  0.967
Br  0.112  0.802  0.947
Br  0.388  0.053  0.198
Br  0.888  0.198  0.053
Br  0.612  0.947  0.802

## Properties
E above lowest polymorph ... 19 meV/atom
Size of the total moment ... 0.000 Bohr magnetons per cell
ΔE_f (raw) ... -0.360 eV/atom
VASP energy ... -2.7083 eV/atom
Calculated density ... 4.042 Mg/m³
Space group ... No. 15


No. 2
The following is a GGA-PBE calculation of crystalline Fe2RuPt2 at its relaxed geometry, from the Alexandria database.

Cell lengths 6.354, 6.354, 3.390 Å; angles 90.00, 90.00, 90.00 degrees
Atoms (fractional coordinates):
Ru  0.000  0.000  0.000
Ru  0.500  0.500  0.000
Fe  0.378  0.878  0.000
Fe  0.878  0.622  0.000
Fe  0.622  0.122  0.000
Fe  0.122  0.378  0.000
Pt  0.174  0.674  0.500
Pt  0.674  0.826  0.500
Pt  0.826  0.326  0.500
Pt  0.326  0.174  0.500

## Properties
E above lowest polymorph ... 0 meV/atom
Size of the total moment ... 0.001 Bohr magnetons per cell
Formation energy from the elements ... 0.308 eV per atom
VASP energy ... -7.3484 eV/atom
Calculated density ... 14.630 Mg/m³
Space group ... No. 127